Entry 1:
A plane-wave DFT calculation with PBE was carried out for MgZr2HIr after structural relaxation.

Output
For the total magnetic moment, the calculation gives 0.0000 μB per atom. Its density is 8.5 g/cm3. The calculated total energy is -6.5278 eV/atom.

Geometry as CIF:
```
data_MgZr2HIr
_space_group_name_H-M_alt 'P 4/m m m'
_space_group_IT_number 123
_space_group_name_Hall '-P 4 2'
_cell_length_a 4.329
_cell_length_b 4.329
_cell_length_c 4.155
_cell_angle_alpha 90.00
_cell_angle_beta 90.00
_cell_angle_gamma 90.00
loop_
_atom_site_label
_atom_site_type_symbol
_atom_site_fract_x
_atom_site_fract_y
_atom_site_fract_z
_atom_site_occupancy
Mg1 Mg 0.000 0.000 0.000 1
Zr1 Zr 0.000 0.500 0.500 1
H1 H 0.000 0.000 0.500 1
Ir1 Ir 0.500 0.500 0.000 1
```

---

Entry 2:
A plane-wave DFT calculation with PBE was carried out for MgZrHIr2 after structural relaxation.

Output
For the total magnetic moment, the calculation gives 0.0000 μB per atom. Its density is 12.1 g/cm3. The calculated total energy is -6.6278 eV/atom.

Geometry as CIF:
```
data_MgZrHIr2
_space_group_name_H-M_alt 'P 4/m m m'
_space_group_IT_number 123
_space_group_name_Hall '-P 4 2'
_cell_length_a 4.213
_cell_length_b 4.213
_cell_length_c 3.869
_cell_angle_alpha 90.00
_cell_angle_beta 90.00
_cell_angle_gamma 90.00
loop_
_atom_site_label
_atom_site_type_symbol
_atom_site_fract_x
_atom_site_fract_y
_atom_site_fract_z
_atom_site_occupancy
Mg1 Mg 0.000 0.000 0.000 1
Zr1 Zr 0.500 0.500 0.000 1
H1 H 0.000 0.000 0.500 1
Ir1 Ir 0.000 0.500 0.500 1
```

---

Entry 3:
A plane-wave DFT calculation with PBE was carried out for MnH2Ir after structural relaxation.

Output
For the total magnetic moment, the calculation gives 0.9793 μB per atom. Its density is 11.8 g/cm3. The value obtained for the distance to the lowest polymorph of the same formula is 0.444 eV/atom.

Geometry as CIF:
```
data_MnH2Ir
_space_group_name_H-M_alt 'F m -3 m'
_space_group_IT_number 225
_space_group_name_Hall '-F 4 2 3'
_cell_length_a 5.201
_cell_length_b 5.201
_cell_length_c 5.201
_cell_angle_alpha 90.00
_cell_angle_beta 90.00
_cell_angle_gamma 90.00
loop_
_atom_site_label
_atom_site_type_symbol
_atom_site_fract_x
_atom_site_fract_y
_atom_site_fract_z
_atom_site_occupancy
Mn1 Mn 0.000 0.000 0.000 1
H1 H 0.250 0.250 0.250 1
Ir1 Ir 0.000 0.000 0.500 1
```

---

Entry 4:
A plane-wave DFT calculation with PBE was carried out for MnH2Ir after structural relaxation.

Output
For the total magnetic moment, the calculation gives 0.8150 μB per atom. Its density is 12.3 g/cm3. The value obtained for the distance to the lowest polymorph of the same formula is 0.000 eV/atom.

Geometry as CIF:
```
data_MnH2Ir
_space_group_name_H-M_alt 'R -3 m'
_space_group_IT_number 166
_space_group_name_Hall '-R 3 2"'
_cell_length_a 2.8154
_cell_length_b 2.8154
_cell_length_c 14.6710
_cell_angle_alpha 90.00
_cell_angle_beta 90.00
_cell_angle_gamma 120.00
loop_
_atom_site_label
_atom_site_type_symbol
_atom_site_fract_x
_atom_site_fract_y
_atom_site_fract_z
_atom_site_occupancy
Mn1 Mn 0.0000 0.0000 0.0000 1
H1 H 0.0000 0.0000 0.3811 1
Ir1 Ir 0.0000 0.0000 0.5000 1
```

---

Entry 5:
A plane-wave DFT calculation with PBE was carried out for MnH2Ir2 after structural relaxation.

Output
For the total magnetic moment, the calculation gives 0.6121 μB per atom. Its density is 14.7 g/cm3. The value obtained for the distance to the lowest polymorph of the same formula is 0.000 eV/atom.

Geometry as CIF:
```
data_MnH2Ir2
_space_group_name_H-M_alt 'P 4/m b m'
_space_group_IT_number 127
_space_group_name_Hall '-P 4 2ab'
_cell_length_a 5.767
_cell_length_b 5.767
_cell_length_c 2.998
_cell_angle_alpha 90.00
_cell_angle_beta 90.00
_cell_angle_gamma 90.00
loop_
_atom_site_label
_atom_site_type_symbol
_atom_site_fract_x
_atom_site_fract_y
_atom_site_fract_z
_atom_site_occupancy
Mn1 Mn 0.000 0.000 0.000 1
H1 H 0.218 0.282 0.000 1
Ir1 Ir 0.166 0.666 0.500 1
```

---

Entry 6:
A plane-wave DFT calculation with PBE was carried out for MnHIr after structural relaxation.

Output
For the total magnetic moment, the calculation gives 1.0737 μB per atom. Its density is 13.1 g/cm3. The value obtained for the distance to the lowest polymorph of the same formula is 0.000 eV/atom.

Geometry as CIF:
```
data_MnHIr
_space_group_name_H-M_alt 'P n m a'
_space_group_IT_number 62
_space_group_name_Hall '-P 2ac 2n'
_cell_length_a 5.477
_cell_length_b 4.378
_cell_length_c 5.259
_cell_angle_alpha 90.00
_cell_angle_beta 90.00
_cell_angle_gamma 90.00
loop_
_atom_site_label
_atom_site_type_symbol
_atom_site_fract_x
_atom_site_fract_y
_atom_site_fract_z
_atom_site_occupancy
Mn1 Mn 0.172 0.250 0.165 1
H1 H 0.152 0.750 0.049 1
Ir1 Ir 0.047 0.250 0.661 1
```

---

Entry 7:
A plane-wave DFT calculation with PBE was carried out for MnHIr after structural relaxation.

Output
For the total magnetic moment, the calculation gives 0.0001 μB per atom. Its density is 13.4 g/cm3. The value obtained for the distance to the lowest polymorph of the same formula is 0.272 eV/atom.

Geometry as CIF:
```
data_MnHIr
_space_group_name_H-M_alt 'P 3 m 1'
_space_group_IT_number 156
_space_group_name_Hall 'P 3 -2"'
_cell_length_a 3.6788
_cell_length_b 3.6788
_cell_length_c 2.6294
_cell_angle_alpha 90.00
_cell_angle_beta 90.00
_cell_angle_gamma 120.00
loop_
_atom_site_label
_atom_site_type_symbol
_atom_site_fract_x
_atom_site_fract_y
_atom_site_fract_z
_atom_site_occupancy
Mn1 Mn 0.0000 0.0000 0.0000 1
H1 H 0.3333 0.6667 0.6487 1
Ir1 Ir 0.6667 0.3333 0.5398 1
```

---

Entry 8:
A plane-wave DFT calculation with PBE was carried out for MnH2Ir after structural relaxation.

Output
For the total magnetic moment, the calculation gives 0.0002 μB per atom. Its density is 12.9 g/cm3. The value obtained for the distance to the lowest polymorph of the same formula is 0.188 eV/atom.

Geometry as CIF:
```
data_MnH2Ir
_space_group_name_H-M_alt 'I -4 2 d'
_space_group_IT_number 122
_space_group_name_Hall 'I -4 2bw'
_cell_length_a 3.993
_cell_length_b 3.993
_cell_length_c 8.046
_cell_angle_alpha 90.00
_cell_angle_beta 90.00
_cell_angle_gamma 90.00
loop_
_atom_site_label
_atom_site_type_symbol
_atom_site_fract_x
_atom_site_fract_y
_atom_site_fract_z
_atom_site_occupancy
Mn1 Mn 0.000 0.000 0.000 1
H1 H 0.224 0.250 0.125 1
Ir1 Ir 0.000 0.000 0.500 1
```

---

Entry 9:
A plane-wave DFT calculation with PBE was carried out for Mn2HIr after structural relaxation.

Output
For the total magnetic moment, the calculation gives 0.0000 μB per atom. Its density is 13.2 g/cm3. The value obtained for the distance to the lowest polymorph of the same formula is 0.000 eV/atom.

Geometry as CIF:
```
data_Mn2HIr
_space_group_name_H-M_alt 'R -3 m'
_space_group_IT_number 166
_space_group_name_Hall '-R 3 2"'
_cell_length_a 2.6589
_cell_length_b 2.6589
_cell_length_c 18.6616
_cell_angle_alpha 90.00
_cell_angle_beta 90.00
_cell_angle_gamma 120.00
loop_
_atom_site_label
_atom_site_type_symbol
_atom_site_fract_x
_atom_site_fract_y
_atom_site_fract_z
_atom_site_occupancy
Mn1 Mn 0.0000 0.0000 0.2196 1
H1 H 0.0000 0.0000 0.5000 1
Ir1 Ir 0.0000 0.0000 0.0000 1
```

---

Entry 10:
A plane-wave DFT calculation with PBE was carried out for MnH2Ir2 after structural relaxation.

Output
For the total magnetic moment, the calculation gives 0.0000 μB per atom. Its density is 15.7 g/cm3. The value obtained for the distance to the lowest polymorph of the same formula is 0.020 eV/atom.

Geometry as CIF:
```
data_MnH2Ir2
_space_group_name_H-M_alt 'I 4/m m m'
_space_group_IT_number 139
_space_group_name_Hall '-I 4 2'
_cell_length_a 2.751
_cell_length_b 2.751
_cell_length_c 12.364
_cell_angle_alpha 90.00
_cell_angle_beta 90.00
_cell_angle_gamma 90.00
loop_
_atom_site_label
_atom_site_type_symbol
_atom_site_fract_x
_atom_site_fract_y
_atom_site_fract_z
_atom_site_occupancy
Mn1 Mn 0.000 0.000 0.000 1
H1 H 0.000 0.500 0.250 1
Ir1 Ir 0.000 0.000 0.361 1
```

---

Entry 11:
A plane-wave DFT calculation with PBE was carried out for Mn2HIr after structural relaxation.

Output
For the total magnetic moment, the calculation gives 0.8261 μB per atom. Its density is 12.1 g/cm3. The value obtained for the distance to the lowest polymorph of the same formula is 0.309 eV/atom.

Geometry as CIF:
```
data_Mn2HIr
_space_group_name_H-M_alt 'I -4 2 d'
_space_group_IT_number 122
_space_group_name_Hall 'I -4 2bw'
_cell_length_a 5.576
_cell_length_b 5.576
_cell_length_c 5.337
_cell_angle_alpha 90.00
_cell_angle_beta 90.00
_cell_angle_gamma 90.00
loop_
_atom_site_label
_atom_site_type_symbol
_atom_site_fract_x
_atom_site_fract_y
_atom_site_fract_z
_atom_site_occupancy
Mn1 Mn 0.138 0.750 0.125 1
H1 H 0.000 0.000 0.000 1
Ir1 Ir 0.000 0.000 0.500 1
```

---

Entry 12:
A plane-wave DFT calculation with PBE was carried out for Mn2HIr after structural relaxation.

Output
For the total magnetic moment, the calculation gives 0.0007 μB per atom. Its density is 12.9 g/cm3. The value obtained for the distance to the lowest polymorph of the same formula is 0.008 eV/atom.

Geometry as CIF:
```
data_Mn2HIr
_space_group_name_H-M_alt 'R 3 m'
_space_group_IT_number 160
_space_group_name_Hall 'R 3 -2"'
_cell_length_a 2.6695
_cell_length_b 2.6695
_cell_length_c 18.9669
_cell_angle_alpha 90.00
_cell_angle_beta 90.00
_cell_angle_gamma 120.00
loop_
_atom_site_label
_atom_site_type_symbol
_atom_site_fract_x
_atom_site_fract_y
_atom_site_fract_z
_atom_site_occupancy
Mn1 Mn 0.0000 0.0000 0.0000 1
Mn2 Mn 0.0000 0.0000 0.2217 1
H1 H 0.0000 0.0000 0.6117 1
Ir1 Ir 0.0000 0.0000 0.4430 1
```